--- 1 ---
First-principles (GGA-PBEsol) data for a relaxed Co2Rh3 crystal, as listed in Alexandria via LeMat-Bulk.

Output
* mass density: 11111 kg/m3

Cell: 4.1802 4.1802 12.6388 Å, 90.00 90.00 120.00°
Space group R-3m (No. 166, hexagonal axes)
Unique sites:
Co 0.0000 0.0000 0.1957 (multiplicity 6)
Rh 0.0000 0.0000 0.0000 (multiplicity 3)
Rh 0.0000 0.0000 0.3983 (multiplicity 6)


--- 2 ---
First-principles (GGA-PBEsol) data for a relaxed Co2Rh3 crystal, as listed in Alexandria via LeMat-Bulk.

Output
* mass density: 11439 kg/m3

Cell: 3.8894 12.2455 2.6004 Å, 90.00 90.00 90.00°
Space group Cmmm (No. 65)
Unique sites:
Co 0.0000 0.2026 0.0000 (multiplicity 4)
Rh 0.0000 0.0000 0.0000 (multiplicity 2)
Rh 0.0000 0.3874 0.5000 (multiplicity 4)


The least stable of them is 1.


--- 1 ---
First-principles (GGA-PBEsol) data for a relaxed Co4Rh crystal, as listed in Alexandria via LeMat-Bulk.

Output
* mass density: 10066 kg/m3

Cell: 2.5152 3.9726 11.1817 Å, 90.00 90.00 90.00°
Space group Immm (No. 71)
Unique sites:
Co 0.0000 0.0000 0.1023 (multiplicity 4)
Co 0.0000 0.5000 0.2119 (multiplicity 4)
Rh 0.0000 0.0000 0.5000 (multiplicity 2)


--- 2 ---
First-principles (GGA-PBEsol) data for a relaxed Co4Rh crystal, as listed in Alexandria via LeMat-Bulk.

Output
* mass density: 10043 kg/m3

Cell: 2.5279 2.5279 30.3536 Å, 90.00 90.00 120.00°
Space group R-3m (No. 166, hexagonal axes)
Unique sites:
Co 0.0000 0.0000 0.0963 (multiplicity 6)
Co 0.0000 0.0000 0.3008 (multiplicity 6)
Rh 0.0000 0.0000 0.5000 (multiplicity 3)


--- 3 ---
First-principles (GGA-PBEsol) data for a relaxed Co4Rh crystal, as listed in Alexandria via LeMat-Bulk.

Output
* mass density: 10038 kg/m3

Cell: 6.4987 6.4987 2.6528 Å, 90.00 90.00 90.00°
Space group I4/m (No. 87)
Unique sites:
Co 0.1218 0.6753 0.0000 (multiplicity 8)
Rh 0.0000 0.0000 0.5000 (multiplicity 2)


The least stable of them is 3.


--- 1 ---
First-principles (GGA-PBEsol) data for a relaxed Co4Rh crystal, as listed in Alexandria via LeMat-Bulk.

Output
* mass density: 10086 kg/m3

Cell: 8.3085 2.5407 6.1292 Å, 90.00 120.48 90.00°
Space group C2/m (No. 12)
Unique sites:
Co 0.1038 0.0000 0.4111 (multiplicity 4)
Co 0.1936 0.5000 0.7911 (multiplicity 4)
Rh 0.0000 0.5000 0.0000 (multiplicity 2)


--- 2 ---
First-principles (GGA-PBEsol) data for a relaxed Co4Rh crystal, as listed in Alexandria via LeMat-Bulk.

Output
* mass density: 9988 kg/m3

Cell: 2.8589 2.8589 13.7769 Å, 90.00 90.00 90.00°
Space group I4/mmm (No. 139)
Unique sites:
Co 0.0000 0.0000 0.1135 (multiplicity 4)
Co 0.0000 0.0000 0.2975 (multiplicity 4)
Rh 0.0000 0.0000 0.5000 (multiplicity 2)


The least stable of them is 2.


--- 1 ---
First-principles (GGA-PBEsol) data for a relaxed CoRu2Rh crystal, as listed in Alexandria via LeMat-Bulk.

Output
* mass density: 11535 kg/m3

Cell: 5.1565 8.8173 2.6025 Å, 90.00 117.67 90.00°
Space group C2/m (No. 12)
Unique sites:
Co 0.0000 0.0000 0.0000 (multiplicity 2)
Ru 0.2500 0.2500 0.5000 (multiplicity 4)
Rh 0.0000 0.5000 0.0000 (multiplicity 2)


--- 2 ---
First-principles (GGA-PBEsol) data for a relaxed CoRu2Rh crystal, as listed in Alexandria via LeMat-Bulk.

Output
* mass density: 12047 kg/m3

Cell: 3.6879 3.6879 7.3774 Å, 90.00 90.00 90.00°
Space group I-4m2 (No. 119)
Unique sites:
Co 0.0000 0.0000 0.0000 (multiplicity 2)
Ru 0.0000 0.0000 0.5000 (multiplicity 2)
Ru 0.0000 0.5000 0.7500 (multiplicity 2)
Rh 0.0000 0.5000 0.2500 (multiplicity 2)


The least stable of them is 1.


--- 1 ---
First-principles (GGA-PBEsol) data for a relaxed SrCoRh crystal, as listed in Alexandria via LeMat-Bulk.

Output
* mass density: 6616 kg/m3

Cell: 6.3033 6.3033 6.3033 Å, 90.00 90.00 90.00°
Space group F-43m (No. 216)
Unique sites:
Sr 0.0000 0.0000 0.0000 (multiplicity 4)
Co 0.2500 0.2500 0.7500 (multiplicity 4)
Rh 0.2500 0.2500 0.2500 (multiplicity 4)


--- 2 ---
First-principles (GGA-PBEsol) data for a relaxed SrCoRh crystal, as listed in Alexandria via LeMat-Bulk.

Output
* mass density: 6534 kg/m3

Cell: 3.9908 3.9908 4.5965 Å, 90.00 90.00 120.00°
Space group P-6m2 (No. 187)
Unique sites:
Sr 0.0000 0.0000 0.0000 (multiplicity 1)
Co 0.3333 0.6667 0.5000 (multiplicity 1)
Rh 0.6667 0.3333 0.5000 (multiplicity 1)


The least stable of them is 1.


--- 1 ---
First-principles (GGA-PBEsol) data for a relaxed Sc2CoRu crystal, as listed in Alexandria via LeMat-Bulk.

Output
* mass density: 6846 kg/m3

Cell: 6.2356 6.2356 6.2356 Å, 90.00 90.00 90.00°
Space group Fm-3m (No. 225)
Unique sites:
Sc 0.2500 0.2500 0.2500 (multiplicity 8)
Co 0.0000 0.0000 0.0000 (multiplicity 4)
Ru 0.0000 0.0000 0.5000 (multiplicity 4)


--- 2 ---
First-principles (GGA-PBEsol) data for a relaxed Sc2CoRu crystal, as listed in Alexandria via LeMat-Bulk.

Output
* mass density: 6039 kg/m3

Cell: 2.9978 2.9978 7.6467 Å, 90.00 90.00 90.00°
Space group P4mm (No. 99)
Unique sites:
Sc 0.0000 0.0000 0.0000 (multiplicity 1)
Sc 0.5000 0.5000 0.3780 (multiplicity 1)
Co 0.5000 0.5000 0.7809 (multiplicity 1)
Ru 0.0000 0.0000 0.6033 (multiplicity 1)


--- 3 ---
First-principles (GGA-PBEsol) data for a relaxed Sc2CoRu crystal, as listed in Alexandria via LeMat-Bulk.

Output
* mass density: 6538 kg/m3

Cell: 2.9407 4.1203 5.2388 Å, 90.00 90.00 90.00°
Space group Pmm2 (No. 25)
Unique sites:
Sc 0.0000 0.0000 0.0000 (multiplicity 1)
Sc 0.5000 0.5000 0.3542 (multiplicity 1)
Co 0.0000 0.0000 0.5214 (multiplicity 1)
Ru 0.5000 0.5000 0.8343 (multiplicity 1)


The least stable of them is 2.